# 1
A plane-wave DFT calculation with PBE-GGA was carried out for a relaxed Tb4Dy5Th4 crystal.

Summary:
Energy of formation   0.0315 eV/atom

a = 12.845 Å, b = 12.845 Å, c = 5.042 Å
α = 90.00°, β = 90.00°, γ = 90.00°
Space group I4/m (No. 87)
Symmetry-distinct sites (fractional):
Tb1 0.153 0.767 0.000 x8
Dy1 0.000 0.000 0.000 x2
Dy2 0.038 0.195 0.500 x8
Th1 0.075 0.387 0.000 x8

---

# 2
A plane-wave DFT calculation with PBE-GGA was carried out for a relaxed ZrPd crystal.

Summary:
Energy of formation   -0.6429 eV/atom

a = 3.374 Å, b = 4.409 Å, c = 5.439 Å
α = 90.00°, β = 107.18°, γ = 90.00°
Space group P2_1/m (No. 11)
Symmetry-distinct sites (fractional):
Zr1 0.139 0.250 0.285 x2
Pd1 0.414 0.250 0.824 x2

---

# 3
A plane-wave DFT calculation with PBE-GGA was carried out for a relaxed Li8SnPt2 crystal.

Summary:
Energy of formation   -0.3793 eV/atom

a = 7.995 Å, b = 10.968 Å, c = 4.250 Å
α = 90.00°, β = 90.00°, γ = 90.00°
Space group Cmmm (No. 65)
Symmetry-distinct sites (fractional):
Li1 0.000 0.244 0.000 x4
Li2 0.155 0.000 0.000 x4
Li3 0.173 0.361 0.500 x8
Sn1 0.000 0.500 0.000 x2
Pt1 0.000 0.121 0.500 x4

---

# 4
A plane-wave DFT calculation with PBE-GGA was carried out for a relaxed Pa2Co12Si3Mo crystal.

Summary:
E_form (uncorrected)   119.5 kJ/mol of formula units

a = 6.1358 Å, b = 6.1358 Å, c = 23.2416 Å
α = 90.00°, β = 90.00°, γ = 120.00°
Space group R-3m (No. 166, hexagonal axes)
Symmetry-distinct sites (fractional):
Pa1 0.0000 0.0000 0.1347 x6
Co1 0.0507 0.5253 0.8905 x18
Co2 0.0637 0.5318 0.6222 x18
Si1 0.0000 0.5000 0.0000 x9
Mo1 0.0000 0.0000 0.5000 x3

---

# 5
A plane-wave DFT calculation with PBE-GGA was carried out for a relaxed Dy3PuO7 crystal.

Summary:
E_form (uncorrected)   -3551.2 kJ/mol of formula units

a = 7.551 Å, b = 10.746 Å, c = 7.675 Å
α = 90.00°, β = 90.00°, γ = 90.00°
Space group Cmcm (No. 63)
Symmetry-distinct sites (fractional):
Dy1 0.000 0.000 0.000 x4
Dy2 0.232 0.265 0.250 x8
Pu1 0.000 0.500 0.000 x4
O1 0.000 0.133 0.750 x4
O2 0.000 0.134 0.250 x4
O3 0.000 0.406 0.250 x4
O4 0.211 0.375 0.530 x16

---

# 6
A plane-wave DFT calculation with PBE-GGA was carried out for a relaxed AgN crystal.

Summary:
E_form (uncorrected)   311.6 kJ/mol of formula units
Relative energy among the computed polymorphs   261.8 kJ/mol of formula units

a = 3.1993 Å, b = 3.1993 Å, c = 5.6241 Å
α = 90.00°, β = 90.00°, γ = 120.00°
Space group P6_3/mmc (No. 194)
Symmetry-distinct sites (fractional):
Ag1 0.0000 0.0000 0.0000 x2
N1 0.3333 0.6667 0.2500 x2

---

Computed DFT total energy (eV/cell) in order:
-141.60, -30.05, -71.13, -390.37, -398.60, -15.90